[1]
# PBE Pm3Si4Au2, optimized geometry
data_Pm3Si4Au2
_cell_length_a 5.931
_cell_length_b 5.931
_cell_length_c 8.369
_cell_angle_alpha 100.31
_cell_angle_beta 100.31
_cell_angle_gamma 41.91
_symmetry_space_group_name_H-M 'P 1'
_symmetry_Int_Tables_number 1
_symmetry_space_group_name_Hall 'P 1'
loop_
_atom_site_label
_atom_site_type_symbol
_atom_site_fract_x
_atom_site_fract_y
_atom_site_fract_z
Pm1 Pm 0.000 0.000 0.000
Pm2 Pm 0.337 0.337 0.329
Pm3 Pm 0.663 0.663 0.671
Si1 Si 0.054 0.054 0.392
Si2 Si 0.277 0.277 0.947
Si3 Si 0.723 0.723 0.053
Si4 Si 0.946 0.946 0.608
Au1 Au 0.386 0.386 0.719
Au2 Au 0.614 0.614 0.281
# Crystal system = monoclinic

[2]
# PBE Pm8SiAu2, optimized geometry
data_Pm8SiAu2
_cell_length_a 9.738
_cell_length_b 9.738
_cell_length_c 6.964
_cell_angle_alpha 108.76
_cell_angle_beta 108.76
_cell_angle_gamma 30.96
_symmetry_space_group_name_H-M 'P 1'
_symmetry_Int_Tables_number 1
_symmetry_space_group_name_Hall 'P 1'
loop_
_atom_site_label
_atom_site_type_symbol
_atom_site_fract_x
_atom_site_fract_y
_atom_site_fract_z
Pm1 Pm 0.022 0.022 0.286
Pm2 Pm 0.201 0.201 0.841
Pm3 Pm 0.331 0.331 0.504
Pm4 Pm 0.408 0.408 0.039
Pm5 Pm 0.592 0.592 0.961
Pm6 Pm 0.669 0.669 0.496
Pm7 Pm 0.799 0.799 0.159
Pm8 Pm 0.978 0.978 0.714
Si1 Si 0.500 0.500 0.500
Au1 Au 0.172 0.172 0.236
Au2 Au 0.828 0.828 0.764
# Crystal system = monoclinic

[3]
# PBE Pm3Si3Au, optimized geometry
data_Pm3Si3Au
_cell_length_a 9.693
_cell_length_b 9.693
_cell_length_c 9.693
_cell_angle_alpha 155.95
_cell_angle_beta 154.02
_cell_angle_gamma 35.69
_symmetry_space_group_name_H-M 'P 1'
_symmetry_Int_Tables_number 1
_symmetry_space_group_name_Hall 'P 1'
loop_
_atom_site_label
_atom_site_type_symbol
_atom_site_fract_x
_atom_site_fract_y
_atom_site_fract_z
Pm1 Pm 0.000 0.000 0.000
Pm2 Pm 0.193 0.693 0.500
Pm3 Pm 0.370 0.370 0.000
Si1 Si 0.538 0.538 0.000
Si2 Si 0.753 0.253 0.500
Si3 Si 0.830 0.830 0.000
Au1 Au 0.621 0.121 0.500
# Energy above the most stable polymorph in this dataset = 0.0 meV/atom
# Crystal system = orthorhombic

[4]
# PBE Pm2Si3Au2, optimized geometry
data_Pm2Si3Au2
_cell_length_a 5.700
_cell_length_b 5.700
_cell_length_c 6.684
_cell_angle_alpha 108.43
_cell_angle_beta 108.43
_cell_angle_gamma 44.12
_symmetry_space_group_name_H-M 'P 1'
_symmetry_Int_Tables_number 1
_symmetry_space_group_name_Hall 'P 1'
loop_
_atom_site_label
_atom_site_type_symbol
_atom_site_fract_x
_atom_site_fract_y
_atom_site_fract_z
Pm1 Pm 0.136 0.136 0.288
Pm2 Pm 0.864 0.864 0.712
Si1 Si 0.411 0.411 0.069
Si2 Si 0.500 0.500 0.500
Si3 Si 0.589 0.589 0.931
Au1 Au 0.169 0.169 0.788
Au2 Au 0.831 0.831 0.212
# Energy above the most stable polymorph in this dataset = 107.3 meV/atom
# Crystal system = monoclinic

Number 1: electronic total energy -0.20337 hartree per atom, N(E_F) 4.62 states/eV/cell, uncorrected formation energy -7.3 eV per formula unit. Number 2: electronic total energy -0.18135 hartree per atom, N(E_F) 11.45 states/eV/cell, uncorrected formation energy -4.3 eV per formula unit. Number 3: electronic total energy -0.20544 hartree per atom, N(E_F) 6.13 states/eV/cell, uncorrected formation energy -5.3 eV per formula unit. Number 4: electronic total energy -0.19140 hartree per atom, N(E_F) 2.92 states/eV/cell, uncorrected formation energy -4.1 eV per formula unit.